The following is a DFT calculation (GGA-PBE) of a geometry-optimized SrCa2Sc6O12 structure.

abc: 9.7155 9.7155 3.1910
angles: 90.00 90.00 120.00
Fractional coordinates of all 21 atoms:
O  0.3980  0.5255  0.2496
O  0.1275  0.6020  0.2496
O  0.1076  0.2980  0.7465
O  0.8924  0.7020  0.2535
O  0.8096  0.1076  0.2535
O  0.2980  0.1904  0.2535
O  0.8725  0.3980  0.7504
O  0.4745  0.8725  0.2496
O  0.1904  0.8924  0.7465
O  0.7020  0.8096  0.7465
O  0.5255  0.1275  0.7504
O  0.6020  0.4745  0.7504
Ca  0.3333  0.6667  0.7480
Ca  0.6667  0.3333  0.2520
Sr  0.0000  0.0000  0.5000
Sc  0.6499  0.9982  0.7556
Sc  0.3501  0.0018  0.2444
Sc  0.0018  0.6518  0.7556
Sc  0.9982  0.3482  0.2444
Sc  0.3482  0.3501  0.7556
Sc  0.6518  0.6499  0.2444

Summary:
The total energy is -173.37 eV/cell. Its volume is 12.4 A^3/atom. The density of states at the Fermi level comes out at 0.00 states/eV/cell. Its uncorrected formation energy is -3.34 eV/atom. The density comes out at 4.007 g/cm³.